[1]
Compound: Mn2TcRuW
Source: Alexandria
Functional: PBE-GGA
Structure: optimized geometry

Computed properties:
For the calculated formation energy, the calculation gives 1.98 eV/atom. The size of the total moment comes out at 0.495 μB/atom. The value obtained for the total energy is -41.02 eV for the cell shown.

Structure (POSCAR):
```
Mn2TcRuW
1.0
4.3975 0.0000 0.0000
0.0000 4.6415 0.0000
0.0000 0.0000 4.3975
Mn Ru W Tc
2 1 1 1
Direct
0.0000 0.0000 0.5000
0.5000 0.0000 0.0000
0.5000 0.5000 0.5000
0.0000 0.0000 0.0000
0.0000 0.5000 0.0000
```


[2]
Compound: MnZnTcRu
Source: Alexandria
Functional: PBE-GGA
Structure: optimized geometry

Computed properties:
For the calculated formation energy, the calculation gives 0.11 eV/atom. The size of the total moment comes out at 0.408 μB/atom. The value obtained for the total energy is -29.63 eV for the cell shown.

Structure (POSCAR):
```
MnZnTcRu
1.0
-1.6447 -3.9168 -0.2525
0.1100 -2.1203 -3.6881
2.5702 -3.3623 -0.4455
Mn Tc Ru Zn
1 1 1 1
Direct
0.0000 0.0000 0.0000
0.2500 0.2500 0.2500
0.7500 0.7500 0.7500
0.5000 0.5000 0.5000
```


[3]
Compound: Mn2TeRu
Source: Alexandria
Functional: PBE-GGA
Structure: optimized geometry

Computed properties:
The size of the total moment comes out at 1.809 μB/atom. The uncorrected formation energy is 1.7 eV per formula unit. The value obtained for the total energy is -29.08 eV for the cell shown.

Structure (POSCAR):
```
Mn2TeRu
1.0
4.4597 0.0000 0.0000
0.0000 3.0654 -0.0026
0.0000 0.2456 4.8149
Te Mn Ru
1 2 1
Direct
0.5000 0.7500 0.7500
0.0000 0.5291 0.4811
0.0000 0.9709 0.0189
0.5000 0.2500 0.2500
```


[4]
Compound: MnTeRu
Source: Alexandria
Functional: PBE-GGA
Structure: optimized geometry

Computed properties:
The size of the total moment comes out at 0.999 μB/atom. The value obtained for the excess energy over the best structure of this formula in the dataset is 0.00 eV/f.u. The uncorrected formation energy is 0.0 eV per formula unit. The value obtained for the total energy is -21.61 eV for the cell shown.

Structure (POSCAR):
```
MnTeRu
1.0
-1.0365 2.8860 -3.0169
1.1055 -0.6836 -4.1007
-3.0228 -0.9284 -2.9165
Mn Te Ru
1 1 1
Direct
0.5000 0.5000 0.5000
0.0000 0.0000 0.0000
0.7500 0.7500 0.7500
```